[1]
Lu2IrPt | PBE | relaxed

a b c (Å): 4.7260 4.7260 4.7260
angles (deg): 60.00 60.00 60.00
Element x y z (fractional)
Ir  0.2500  0.2500  0.2500
Lu  0.0000  0.0000  0.0000
Lu  0.7500  0.7500  0.7500
Pt  0.5000  0.5000  0.5000

Results
Space-group type   No. 216
Calculated formation energy   -0.5623 eV/atom

---

[2]
NaNb2AsO8 | PBE | relaxed

a b c (Å): 4.9180 8.4337 15.1157
angles (deg): 90.00 99.88 90.00
Element x y z (fractional)
As  0.3960  0.2611  0.2358
As  0.6040  0.7611  0.2642
As  0.3960  0.2389  0.7358
As  0.6040  0.7389  0.7642
Na  0.0290  0.9832  0.1183
Na  0.9710  0.4832  0.3817
Na  0.0290  0.5168  0.6183
Na  0.9710  0.0168  0.8817
Nb  0.5510  0.2865  0.0183
Nb  0.0442  0.5699  0.1386
Nb  0.9558  0.0699  0.3614
Nb  0.4490  0.7865  0.4817
Nb  0.5510  0.2135  0.5183
Nb  0.0442  0.9301  0.6386
Nb  0.9558  0.4301  0.8614
Nb  0.4490  0.7135  0.9817
O  0.2739  0.8872  0.0062
O  0.3201  0.5431  0.0615
O  0.8054  0.7209  0.0677
O  0.8553  0.3804  0.1090
O  0.3944  0.2109  0.1247
O  0.2852  0.7617  0.1999
O  0.8177  0.6142  0.2407
O  0.2721  0.4475  0.2496
O  0.7279  0.9475  0.2504
O  0.1823  0.1142  0.2593
O  0.7148  0.2617  0.3001
O  0.6056  0.7109  0.3753
O  0.1447  0.8804  0.3910
O  0.1946  0.2209  0.4323
O  0.6799  0.0431  0.4385
O  0.7261  0.3872  0.4938
O  0.2739  0.6128  0.5062
O  0.3201  0.9569  0.5615
O  0.8054  0.7791  0.5677
O  0.8553  0.1196  0.6090
O  0.3944  0.2891  0.6247
O  0.2852  0.7383  0.6999
O  0.8177  0.8858  0.7407
O  0.2721  0.0525  0.7496
O  0.7279  0.5525  0.7504
O  0.1823  0.3859  0.7593
O  0.7148  0.2383  0.8001
O  0.6056  0.7891  0.8753
O  0.1447  0.6196  0.8910
O  0.1946  0.2791  0.9323
O  0.6799  0.4569  0.9385
O  0.7261  0.1128  0.9938

Results
Space-group type   No. 14
VASP energy   -7.58 eV/atom

---

[3]
YHoIr2 | PBE | relaxed

a b c (Å): 4.7574 4.7574 3.5184
angles (deg): 90.00 90.00 90.00
Element x y z (fractional)
Ho  0.0000  0.0000  0.5000
Ir  0.5000  0.0000  0.0000
Ir  0.0000  0.5000  0.0000
Y  0.5000  0.5000  0.5000

Results
Polymorph energy (0 for the lowest one)   0.000 eV per atom
Space-group type   No. 123
Calculated formation energy   -0.8189 eV/atom

---

We obtain total magnetization values of 0.0 0.0 0.0 μB per cell for the records listed above, in that order.